Here is a relaxed structure of Li2NiSe from Alexandria via LeMat-Bulk. Energies are from PBE.

Cell and atoms, written as CIF:
```
data_Li2NiSe
_cell_length_a 3.905
_cell_length_b 4.111
_cell_length_c 7.341
_cell_angle_alpha 90.00
_cell_angle_beta 90.00
_cell_angle_gamma 90.00
_space_group_name_H-M_alt 'C m m m'
_space_group_IT_number 65
_space_group_name_Hall '-C 2 2'
loop_
_atom_site_label
_atom_site_fract_x
_atom_site_fract_y
_atom_site_fract_z
Li1 0.000 0.000 0.236
Ni1 0.000 0.500 0.000
Se1 0.000 0.500 0.500
```

Computed properties:
Final energy: -3.445 eV per atom
ΔE_f (raw): -0.17 eV per atom